Record 1
! NaSnPbAu, relaxed, DFT PBE; values from VASP
&SYSTEM
  ibrav = 0, nat = 4, ntyp = 4
/
ATOMIC_SPECIES
Na 22.99 Na.upf
Pb 207.20 Pb.upf
Sn 118.71 Sn.upf
Au 196.97 Au.upf
ATOMIC_POSITIONS angstrom
Na 7.7345 4.4655 3.1576
Pb 5.1564 2.9770 2.1051
Sn 0.0000 0.0000 0.0000
Au 2.5782 1.4885 1.0525
CELL_PARAMETERS angstrom
5.1564 0.0000 0.0000
2.5782 4.4655 0.0000
2.5782 1.4885 4.2101
! Crystal system: cubic
! Space-group type: F-43m, No. 216
! E above lowest polymorph, meV per atom: 0.0

=====

Record 2
! NaSnPb2Au2, relaxed, DFT PBE; values from VASP
&SYSTEM
  ibrav = 0, nat = 12, ntyp = 4
/
ATOMIC_SPECIES
Au 196.97 Au.upf
Sn 118.71 Sn.upf
Pb 207.20 Pb.upf
Na 22.99 Na.upf
ATOMIC_POSITIONS angstrom
Au 5.9762 -5.8801 -0.8463
Au 3.7263 -5.6028 3.7983
Au 5.3618 -1.3145 -1.7709
Au 2.0492 -4.1703 -0.3505
Sn 4.3952 -3.9316 -1.9981
Sn 1.9158 -6.0111 1.7029
Pb -0.5531 -2.0701 -1.0590
Pb 2.7381 -1.2787 -0.2529
Pb 7.7101 -5.7240 1.5650
Pb 4.8901 -7.7487 1.8020
Na 4.7135 -3.9218 1.4098
Na 7.7136 -3.2052 -1.1384
CELL_PARAMETERS angstrom
-1.7105 -3.0923 -2.8834
6.7084 -0.4211 -3.5279
2.4843 -6.5028 5.5002
! Crystal system: orthorhombic
! Space-group type: Pmc2_1, No. 26

=====

Record 3
! NaSrPbAu, relaxed, DFT PBE; values from VASP
&SYSTEM
  ibrav = 0, nat = 4, ntyp = 4
/
ATOMIC_SPECIES
Pb 207.20 Pb.upf
Au 196.97 Au.upf
Sr 87.62 Sr.upf
Na 22.99 Na.upf
ATOMIC_POSITIONS angstrom
Pb -1.9028 -8.9008 3.4641
Au -1.2686 -5.9339 2.3094
Sr -0.6343 -2.9669 1.1547
Na 0.0000 0.0000 0.0000
CELL_PARAMETERS angstrom
-3.3848 -4.0765 -0.1650
1.8102 -4.9662 0.4026
-0.9625 -2.8250 4.3812
! Crystal system: cubic
! Space-group type: F-43m, No. 216

=====

Record 4
! NaTa2PbAu, relaxed, DFT PBE; values from VASP
&SYSTEM
  ibrav = 0, nat = 5, ntyp = 4
/
ATOMIC_SPECIES
Ta 180.95 Ta.upf
Pb 207.20 Pb.upf
Na 22.99 Na.upf
Au 196.97 Au.upf
ATOMIC_POSITIONS angstrom
Ta 0.0000 0.0000 2.5300
Ta 2.5300 0.0000 0.0000
Pb 0.0000 2.9021 0.0000
Na 2.5300 2.9021 2.5300
Au 0.0000 0.0000 0.0000
CELL_PARAMETERS angstrom
5.0600 0.0000 0.0000
0.0000 5.8042 0.0000
0.0000 0.0000 5.0600
! Crystal system: tetragonal
! Space-group type: P4/mmm, No. 123

=====

Record 5
! NaTlPbAu, relaxed, DFT PBE; values from VASP
&SYSTEM
  ibrav = 0, nat = 4, ntyp = 4
/
ATOMIC_SPECIES
Tl 204.38 Tl.upf
Pb 207.20 Pb.upf
Au 196.97 Au.upf
Na 22.99 Na.upf
ATOMIC_POSITIONS angstrom
Tl -4.5826 -0.2586 5.0844
Pb -4.1756 0.0522 1.5716
Au -2.0020 -2.0351 2.1784
Na -2.0443 -1.4146 -0.8309
CELL_PARAMETERS angstrom
-2.7773 -0.4921 -2.1654
-0.5655 -3.1964 1.4518
-5.0670 3.4875 5.7096
! Crystal system: tetragonal
! Space-group type: P4mm, No. 99
! E above lowest polymorph, meV per atom: 0.0

=====

Record 6
! NaTlPb2Au2, relaxed, DFT PBE; values from VASP
&SYSTEM
  ibrav = 0, nat = 12, ntyp = 4
/
ATOMIC_SPECIES
Na 22.99 Na.upf
Au 196.97 Au.upf
Tl 204.38 Tl.upf
Pb 207.20 Pb.upf
ATOMIC_POSITIONS angstrom
Na 0.0000 3.6060 5.1030
Na 0.0000 7.3616 3.8198
Au 0.0000 5.5918 1.1423
Au 2.3462 5.7278 5.6668
Au 2.3462 1.9722 3.2561
Au 0.0000 1.8362 7.7805
Tl 2.3462 1.3321 6.0532
Tl 2.3462 5.0876 2.8696
Pb 2.3462 3.9701 8.3236
Pb 0.0000 6.4036 7.2473
Pb 2.3462 0.2146 0.5992
Pb 0.0000 2.6480 1.6756
CELL_PARAMETERS angstrom
4.6924 0.0000 0.0000
0.0000 7.5111 0.0000
0.0000 0.0000 8.9228
! Crystal system: orthorhombic
! Space-group type: Pmc2_1, No. 26

=====

What did we get for energy relative to the elements? Answer: -10.09 -19.87 -38.94 143.28 -10.10 -14.80 kJ/mol of atoms, in the order shown.